Entry from Alexandria via LeMat-Bulk: a relaxed SrYSnSb2 crystal (GGA-PBEsol).

a = 5.6350 Å, b = 5.6350 Å, c = 6.1032 Å
α = 90.00°, β = 90.00°, γ = 90.00°
Positions (direct):
Sr (0.0000, 0.0000, 0.0000)
Y (0.0000, 0.0000, 0.5000)
Sn (0.5000, 0.5000, 0.0000)
Sb (0.0000, 0.5000, 0.5000)
Sb (0.5000, 0.0000, 0.5000)

Calculated values
DOS at the Fermi energy = 4.5 states/eV/f.u.
SG = P4/mmm (123)
Total magnetic moment = 0.003 Bohr magnetons per cell
Electronic total energy = -4.068 eV/atom

***

Entry from Alexandria via LeMat-Bulk: a relaxed ScBeRu3 crystal (GGA-PBEsol).

a = 4.1181 Å, b = 4.1181 Å, c = 4.1181 Å
α = 90.00°, β = 90.00°, γ = 90.00°
Positions (direct):
Sc (0.0000, 0.0000, 0.0000)
Be (0.5000, 0.5000, 0.5000)
Ru (0.0000, 0.5000, 0.5000)
Ru (0.5000, 0.0000, 0.5000)
Ru (0.5000, 0.5000, 0.0000)

Calculated values
DOS at the Fermi energy = 7.8 states/eV/f.u.
SG = Pm-3m (221)
Total magnetic moment = 0.001 Bohr magnetons per cell
Electronic total energy = -8.063 eV/atom
E_form = 161 meV/atom

***

Entry from Alexandria via LeMat-Bulk: a relaxed PtAu crystal (GGA-PBEsol).

a = 5.5451 Å, b = 5.5451 Å, c = 5.5451 Å
α = 150.84°, β = 128.64°, γ = 60.16°
Positions (direct):
Pt (0.3805, 0.1305, 0.2500)
Pt (0.6195, 0.8695, 0.7500)
Au (0.1292, 0.3792, 0.7500)
Au (0.8708, 0.6208, 0.2500)

Calculated values
DOS at the Fermi energy = 2.2 states/eV/f.u.
SG = Imma (74)
Total magnetic moment = 0.001 Bohr magnetons per cell
Electronic total energy = -5.351 eV/atom
E_form = 93 meV/atom

***

Entry from Alexandria via LeMat-Bulk: a relaxed TmZr3 crystal (GGA-PBEsol).

a = 6.5044 Å, b = 6.5044 Å, c = 5.1407 Å
α = 90.00°, β = 90.00°, γ = 120.00°
Positions (direct):
Tm (0.3333, 0.6667, 0.2500)
Tm (0.6667, 0.3333, 0.7500)
Zr (0.1627, 0.3254, 0.7500)
Zr (0.1627, 0.8373, 0.7500)
Zr (0.3254, 0.1627, 0.2500)
Zr (0.6746, 0.8373, 0.7500)
Zr (0.8373, 0.1627, 0.2500)
Zr (0.8373, 0.6746, 0.2500)

Calculated values
DOS at the Fermi energy = 3.7 states/eV/f.u.
SG = P6_3/mmc (194)
Total magnetic moment = 0.000 Bohr magnetons per cell
Electronic total energy = -8.016 eV/atom
E_form = 26 meV/atom

***

Entry from Alexandria via LeMat-Bulk: a relaxed CaLa2Pd2 crystal (GGA-PBEsol).

a = 6.9292 Å, b = 6.9292 Å, c = 6.9292 Å
α = 139.37°, β = 139.37°, γ = 58.81°
Positions (direct):
Ca (0.0000, 0.0000, 0.0000)
La (0.2500, 0.7500, 0.5000)
La (0.7500, 0.2500, 0.5000)
Pd (0.3918, 0.3918, 0.0000)
Pd (0.6082, 0.6082, 0.0000)

Calculated values
DOS at the Fermi energy = 4.1 states/eV/f.u.
SG = I4/mmm (139)
Relative energy among the computed polymorphs = 0.2246 eV/atom
Total magnetic moment = 0.000 Bohr magnetons per cell
Electronic total energy = -5.349 eV/atom
E_form = -400 meV/atom

***

Entry from Alexandria via LeMat-Bulk: a relaxed LiRe3P crystal (GGA-PBEsol).

a = 4.0772 Å, b = 4.0772 Å, c = 4.0772 Å
α = 90.00°, β = 90.00°, γ = 90.00°
Positions (direct):
Li (0.0000, 0.0000, 0.0000)
Re (0.0000, 0.0000, 0.5000)
Re (0.0000, 0.5000, 0.0000)
Re (0.5000, 0.0000, 0.0000)
P (0.5000, 0.5000, 0.5000)

Calculated values
DOS at the Fermi energy = 6.5 states/eV/f.u.
SG = Pm-3m (221)
Total magnetic moment = 0.002 Bohr magnetons per cell
Electronic total energy = -7.800 eV/atom
E_form = 1751 meV/atom

***

Entry from Alexandria via LeMat-Bulk: a relaxed Li2CdIn crystal (GGA-PBEsol).

a = 6.0669 Å, b = 6.0669 Å, c = 6.0669 Å
α = 103.30°, β = 103.30°, γ = 122.68°
Positions (direct):
Li (0.1175, 0.1250, 0.4925)
Li (0.3750, 0.8825, 0.0075)
Li (0.6325, 0.6250, 0.5075)
Li (0.8750, 0.3675, 0.9925)
Cd (0.0000, 0.0000, 0.0000)
Cd (0.7500, 0.2500, 0.5000)
In (0.2500, 0.7500, 0.5000)
In (0.5000, 0.5000, 0.0000)

Calculated values
DOS at the Fermi energy = 1.6 states/eV/f.u.
SG = I-42d (122)
Total magnetic moment = 0.000 Bohr magnetons per cell
Electronic total energy = -2.081 eV/atom
E_form = -53 meV/atom

***

Entry from Alexandria via LeMat-Bulk: a relaxed CdP2W crystal (GGA-PBEsol).

a = 6.7986 Å, b = 6.7986 Å, c = 6.7986 Å
α = 153.43°, β = 150.95°, γ = 39.77°
Positions (direct):
Cd (0.0000, 0.0000, 0.0000)
P (0.3324, 0.8324, 0.5000)
P (0.6196, 0.6196, 0.0000)
W (0.7620, 0.2620, 0.5000)

Calculated values
DOS at the Fermi energy = 1.7 states/eV/f.u.
SG = Imm2 (44)
Relative energy among the computed polymorphs = 0.1173 eV/atom
Total magnetic moment = 0.000 Bohr magnetons per cell
Electronic total energy = -6.601 eV/atom
E_form = 46 meV/atom

***

Entry from Alexandria via LeMat-Bulk: a relaxed Be2HgBr crystal (GGA-PBEsol).

a = 3.4238 Å, b = 3.4238 Å, c = 7.5119 Å
α = 90.00°, β = 90.00°, γ = 125.44°
Positions (direct):
Be (0.0000, 0.0000, 0.2490)
Be (0.0000, 0.0000, 0.7510)
Hg (0.5000, 0.5000, 0.0000)
Br (0.5000, 0.5000, 0.5000)

Calculated values
DOS at the Fermi energy = 1.3 states/eV/f.u.
SG = Cmmm (65)
Relative energy among the computed polymorphs = 0.0000 eV/atom
Total magnetic moment = 0.000 Bohr magnetons per cell
Electronic total energy = -2.137 eV/atom

***

Entry from Alexandria via LeMat-Bulk: a relaxed In3SbS2 crystal (GGA-PBEsol).

a = 4.1028 Å, b = 16.9183 Å, c = 4.1258 Å
α = 90.00°, β = 90.00°, γ = 90.00°
Positions (direct):
In (0.0000, 0.0765, 0.0000)
In (0.0000, 0.4230, 0.0413)
In (0.0000, 0.7477, 0.0573)
In (0.5000, 0.2523, 0.5573)
In (0.5000, 0.5770, 0.5413)
In (0.5000, 0.9235, 0.5000)
Sb (0.0000, 0.2483, 0.0594)
Sb (0.5000, 0.7517, 0.5594)
S (0.0000, 0.5781, 0.0552)
S (0.0000, 0.9237, 0.0525)
S (0.5000, 0.0763, 0.5525)
S (0.5000, 0.4219, 0.5552)

Calculated values
DOS at the Fermi energy = 1.8 states/eV/f.u.
SG = Pmn2_1 (31)
Total magnetic moment = 0.000 Bohr magnetons per cell
Electronic total energy = -4.031 eV/atom

***

Entry from Alexandria via LeMat-Bulk: a relaxed CuI crystal (GGA-PBEsol).

a = 3.9449 Å, b = 3.9449 Å, c = 3.9449 Å
α = 60.00°, β = 60.00°, γ = 60.00°
Positions (direct):
Cu (0.0000, 0.0000, 0.0000)
I (0.5000, 0.5000, 0.5000)

Calculated values
DOS at the Fermi energy = 1.0 states/eV/f.u.
SG = Fm-3m (225)
Total magnetic moment = 0.000 Bohr magnetons per cell
Electronic total energy = -2.963 eV/atom

***

Entry from Alexandria via LeMat-Bulk: a relaxed ScNiHgAu2 crystal (GGA-PBEsol).

a = 5.0143 Å, b = 5.0143 Å, c = 4.6648 Å
α = 90.00°, β = 90.00°, γ = 90.00°
Positions (direct):
Sc (0.0000, 0.0000, 0.0000)
Ni (0.5000, 0.5000, 0.0000)
Hg (0.5000, 0.5000, 0.5000)
Au (0.0000, 0.5000, 0.5000)
Au (0.5000, 0.0000, 0.5000)

Calculated values
DOS at the Fermi energy = 4.1 states/eV/f.u.
SG = P4/mmm (123)
Total magnetic moment = 0.000 Bohr magnetons per cell
Electronic total energy = -3.501 eV/atom
E_form = 734 meV/atom

***

Entry from Alexandria via LeMat-Bulk: a relaxed Y2AlIr crystal (GGA-PBEsol).

a = 4.7734 Å, b = 4.7734 Å, c = 4.7734 Å
α = 60.00°, β = 60.00°, γ = 60.00°
Positions (direct):
Y (0.0000, 0.0000, 0.0000)
Y (0.2500, 0.2500, 0.2500)
Al (0.7500, 0.7500, 0.7500)
Ir (0.5000, 0.5000, 0.5000)

Calculated values
SG = F-43m (216)
Total magnetic moment = 0.000 Bohr magnetons per cell
Electronic total energy = -7.373 eV/atom
E_form = -483 meV/atom

***

Entry from Alexandria via LeMat-Bulk: a relaxed Ti2ZnN crystal (GGA-PBEsol).

a = 8.1805 Å, b = 8.1805 Å, c = 4.1324 Å
α = 90.00°, β = 90.00°, γ = 159.04°
Positions (direct):
Ti (0.1115, 0.8885, 0.7500)
Ti (0.2883, 0.7117, 0.7500)
Ti (0.7117, 0.2883, 0.2500)
Ti (0.8885, 0.1115, 0.2500)
Zn (0.4590, 0.5410, 0.7500)
Zn (0.5410, 0.4590, 0.2500)
N (0.3008, 0.6992, 0.2500)
N (0.6992, 0.3008, 0.7500)

Calculated values
DOS at the Fermi energy = 2.5 states/eV/f.u.
SG = Cmcm (63)
Total magnetic moment = 0.000 Bohr magnetons per cell
Electronic total energy = -7.873 eV/atom

***

Entry from Alexandria via LeMat-Bulk: a relaxed Li3VCr3O8 crystal (GGA-PBEsol).

a = 5.0611 Å, b = 7.6316 Å, c = 7.6584 Å
α = 81.83°, β = 83.95°, γ = 71.11°
Positions (direct):
Li (0.0000, 0.0000, 0.0000)
Li (0.0016, 0.2565, 0.2615)
Li (0.0049, 0.3740, 0.8813)
Li (0.0097, 0.4924, 0.5037)
Li (0.9920, 0.8814, 0.3829)
Li (0.9967, 0.7529, 0.7708)
V (0.4873, 0.8132, 0.5682)
V (0.5004, 0.5730, 0.3176)
Cr (0.4927, 0.3168, 0.0725)
Cr (0.4985, 0.0649, 0.8178)
Cr (0.5044, 0.1877, 0.4484)
Cr (0.5049, 0.6868, 0.9486)
Cr (0.5105, 0.4387, 0.6943)
Cr (0.5129, 0.9356, 0.1939)
O (0.2638, 0.6546, 0.5374)
O (0.2784, 0.1495, 0.0390)
O (0.2833, 0.7813, 0.1639)
O (0.2857, 0.8936, 0.7893)
O (0.2875, 0.0212, 0.4087)
O (0.2877, 0.4009, 0.2947)
O (0.2897, 0.5251, 0.9069)
O (0.2910, 0.2820, 0.6615)
O (0.7123, 0.2300, 0.8580)
O (0.7125, 0.9665, 0.6034)
O (0.7164, 0.4727, 0.1079)
O (0.7176, 0.3617, 0.4693)
O (0.7179, 0.8564, 0.9733)
O (0.7254, 0.1009, 0.2290)
O (0.7286, 0.6029, 0.7283)
O (0.7305, 0.7252, 0.3591)

Calculated values
DOS at the Fermi energy = 5.6 states/eV/f.u.
SG = P1 (1)
Relative energy among the computed polymorphs = 0.0000 eV/atom
Total magnetic moment = 20.006 Bohr magnetons per cell
Electronic total energy = -7.969 eV/atom

***

Entry from Alexandria via LeMat-Bulk: a relaxed Ta2CSe crystal (GGA-PBEsol).

a = 6.5352 Å, b = 6.5352 Å, c = 6.5352 Å
α = 133.57°, β = 133.57°, γ = 67.76°
Positions (direct):
Ta (0.0383, 0.6250, 0.9133)
Ta (0.3750, 0.2883, 0.4133)
Ta (0.7117, 0.1250, 0.0867)
Ta (0.8750, 0.9617, 0.5867)
C (0.0000, 0.0000, 0.0000)
C (0.7500, 0.2500, 0.5000)
Se (0.2500, 0.7500, 0.5000)
Se (0.5000, 0.5000, 0.0000)

Calculated values
DOS at the Fermi energy = 2.2 states/eV/f.u.
SG = I-42d (122)
Total magnetic moment = 0.000 Bohr magnetons per cell
Electronic total energy = -9.509 eV/atom

***

Entry from Alexandria via LeMat-Bulk: a relaxed FeTcHg2 crystal (GGA-PBEsol).

a = 4.5231 Å, b = 4.5231 Å, c = 4.5231 Å
α = 60.00°, β = 60.00°, γ = 60.00°
Positions (direct):
Fe (0.0000, 0.0000, 0.0000)
Tc (0.5000, 0.5000, 0.5000)
Hg (0.2500, 0.2500, 0.2500)
Hg (0.7500, 0.7500, 0.7500)

Calculated values
DOS at the Fermi energy = 3.9 states/eV/f.u.
SG = Fm-3m (225)
Total magnetic moment = 3.874 Bohr magnetons per cell
Electronic total energy = -4.662 eV/atom
E_form = 679 meV/atom

***

Entry from Alexandria via LeMat-Bulk: a relaxed Si2GeH crystal (GGA-PBEsol).

a = 4.2072 Å, b = 4.2072 Å, c = 4.2072 Å
α = 60.00°, β = 60.00°, γ = 60.00°
Positions (direct):
Si (0.2500, 0.2500, 0.2500)
Si (0.7500, 0.7500, 0.7500)
Ge (0.0000, 0.0000, 0.0000)
H (0.5000, 0.5000, 0.5000)

Calculated values
DOS at the Fermi energy = 1.7 states/eV/f.u.
SG = Fm-3m (225)
Relative energy among the computed polymorphs = 0.2027 eV/atom
Total magnetic moment = 0.000 Bohr magnetons per cell
Electronic total energy = -4.308 eV/atom

***

Entry from Alexandria via LeMat-Bulk: a relaxed ZnHF3 crystal (GGA-PBEsol).

a = 3.8763 Å, b = 3.8763 Å, c = 3.8763 Å
α = 90.00°, β = 90.00°, γ = 90.00°
Positions (direct):
Zn (0.0000, 0.0000, 0.0000)
H (0.5000, 0.5000, 0.5000)
F (0.0000, 0.0000, 0.5000)
F (0.0000, 0.5000, 0.0000)
F (0.5000, 0.0000, 0.0000)

Calculated values
DOS at the Fermi energy = 3.3 states/eV/f.u.
SG = Pm-3m (221)
Total magnetic moment = 0.418 Bohr magnetons per cell
Electronic total energy = -3.122 eV/atom

***

Entry from Alexandria via LeMat-Bulk: a relaxed CaY2Ta crystal (GGA-PBEsol).

a = 3.2009 Å, b = 3.2009 Å, c = 10.6345 Å
α = 90.00°, β = 90.00°, γ = 90.00°
Positions (direct):
Ca (0.0000, 0.0000, 0.0000)
Y (0.0000, 0.0000, 0.4348)
Y (0.5000, 0.5000, 0.7098)
Ta (0.5000, 0.5000, 0.2339)

Calculated values
DOS at the Fermi energy = 5.1 states/eV/f.u.
SG = P4mm (99)
Relative energy among the computed polymorphs = 0.0000 eV/atom
Total magnetic moment = 0.001 Bohr magnetons per cell
Electronic total energy = -6.651 eV/atom
E_form = 431 meV/atom